Li4Mn3CoO8 | PBE with a Hubbard U | relaxed

Calculated values
The calculation puts the density of states at the Fermi level at 0.34 states/eV/atom. The value obtained for the total energy is -6.35 eV/atom. Its energy above the most stable polymorph in this dataset is 20 meV/atom.

Cell: 3.025 5.117 9.896 Å, 78.44 90.00 90.00°
Element x y z (fractional)
Mn 0.500 0.261 0.754
Mn 0.000 0.500 0.500
Mn 0.500 0.739 0.246
Li 0.500 0.000 0.500
Li 0.000 0.763 0.756
Li 0.000 0.237 0.244
Li 0.500 0.500 0.000
O 0.000 0.622 0.135
O 0.500 0.607 0.623
O 0.500 0.088 0.133
O 0.500 0.393 0.377
O 0.500 0.912 0.867
O 0.000 0.843 0.375
O 0.000 0.378 0.865
O 0.000 0.157 0.625
Co 0.000 0.000 0.000